Density functional theory data (GGA-PBE) for SnPb3Au after structural relaxation.

Geometry as POSCAR:
```
SnPb3Au
1.0
-1.4933 2.9105 6.5053
0.3243 -6.9569 2.1252
6.4661 1.0328 -3.9829
Pb Au Sn
6 2 2
Cartesian
4.1392 -1.0390 3.1774 Pb
5.0541 -2.2760 -0.3825 Pb
1.1579 -1.9746 1.4702 Pb
4.8183 1.3116 -1.8362 Pb
0.2430 -0.7376 5.0301 Pb
0.4788 -4.3252 6.4838 Pb
1.8724 -3.0116 4.1847 Au
3.4248 -0.0020 0.4630 Au
3.9305 2.5372 1.7220 Sn
1.3666 -5.5508 2.9256 Sn
```

polymorph energy (0 for the lowest one) = 18 meV/atom
SG = C2/m, No. 12
magnetic moment = 0.00 μB/cell
energy of formation = -2.0 meV/atom
calculated density = 10.36 g/cm³
crystal system = monoclinic